Record 1
Here is TmAl2Sn after structural relaxation from Alexandria via LeMat-Bulk. Energies are from PBE-GGA.

Cell: 4.3573 4.3959 4.3959 Å, 90.00 90.00 90.00°
Fractional positions:
Tm: 0.5000 0.5000 0.5000
Sn: 0.5000 0.0000 0.0000
Al: 0.0000 0.0000 0.5000
Al: 0.0000 0.5000 0.0000

Volume (Å³ per cell): 84.2
D(E_F) (states/eV per cell): 1.45
Raw total energy (eV/cell): -17.390
DFT formation energy (meV per atom): -358

Record 2
Here is Tm5Al2Sn after structural relaxation from Alexandria via LeMat-Bulk. Energies are from PBE-GGA.

Cell: 7.8756 7.8756 8.7275 Å, 116.82 116.82 90.00°
Fractional positions:
Tm: 0.5143 0.6908 0.7051
Tm: 0.8092 0.9857 0.2949
Tm: 0.0000 0.0000 0.0000
Tm: 0.5000 0.5000 0.0000
Tm: 0.1908 0.0143 0.7051
Tm: 0.6908 0.1908 0.7051
Tm: 0.0143 0.5143 0.7051
Tm: 0.3092 0.8092 0.2949
Tm: 0.9857 0.4857 0.2949
Tm: 0.4857 0.3092 0.2949
Al: 0.1276 0.3724 0.0000
Al: 0.6276 0.1276 0.0000
Al: 0.3724 0.8724 0.0000
Al: 0.8724 0.6276 0.0000
Sn: 0.7500 0.7500 0.5000
Sn: 0.2500 0.2500 0.5000

Volume (Å³ per cell): 416.8
D(E_F) (states/eV per cell): 12.57
Raw total energy (eV/cell): -74.669
DFT formation energy (meV per atom): -436

Record 3
Here is TmAl4Sn after structural relaxation from Alexandria via LeMat-Bulk. Energies are from PBE-GGA.

Cell: 5.5268 5.5268 5.5268 Å, 60.00 60.00 60.00°
Fractional positions:
Tm: 0.2500 0.2500 0.2500
Sn: 0.0000 0.0000 0.0000
Al: 0.6247 0.6247 0.1258
Al: 0.6247 0.1258 0.6247
Al: 0.6247 0.6247 0.6247
Al: 0.1258 0.6247 0.6247

Volume (Å³ per cell): 119.4
D(E_F) (states/eV per cell): 3.51
Raw total energy (eV/cell): -24.581
DFT formation energy (meV per atom): -189

Record 4
Here is Tm3AlSn after structural relaxation from Alexandria via LeMat-Bulk. Energies are from PBE-GGA.

Cell: 5.8096 8.2747 10.9174 Å, 90.00 90.00 90.00°
Fractional positions:
Tm: 0.0003 0.1253 0.1061
Tm: 0.4997 0.6253 0.6061
Tm: 0.4997 0.6253 0.8939
Tm: 0.9997 0.8747 0.6061
Tm: 0.9997 0.8747 0.8939
Tm: 0.5003 0.3747 0.3939
Tm: 0.5003 0.3747 0.1061
Tm: 0.0003 0.1253 0.3939
Tm: 0.2495 0.2502 0.7500
Tm: 0.2505 0.7502 0.2500
Tm: 0.7505 0.7498 0.2500
Tm: 0.7495 0.2498 0.7500
Al: 0.9989 0.5725 0.7500
Al: 0.5011 0.0725 0.2500
Al: 0.0011 0.4275 0.2500
Al: 0.4989 0.9275 0.7500
Sn: 0.0000 0.5000 0.0000
Sn: 0.5000 0.0000 0.5000
Sn: 0.5000 0.0000 0.0000
Sn: 0.0000 0.5000 0.5000

Volume (Å³ per cell): 524.8
D(E_F) (states/eV per cell): 18.89
Raw total energy (eV/cell): -88.879
DFT formation energy (meV per atom): -212

Record 5
Here is Tm7Al5Sn after structural relaxation from Alexandria via LeMat-Bulk. Energies are from PBE-GGA.

Cell: 6.0306 7.8633 7.8633 Å, 80.05 67.45 67.45°
Fractional positions:
Tm: 0.6030 0.3970 0.3970
Tm: 0.2292 0.7708 0.7708
Tm: 0.0209 0.2962 0.6619
Tm: 0.0209 0.6619 0.2962
Tm: 0.2776 0.2224 0.2224
Tm: 0.5316 0.8019 0.1349
Tm: 0.5316 0.1349 0.8019
Al: 0.5374 0.9825 0.4776
Al: 0.0025 0.9825 0.4776
Al: 0.5374 0.4776 0.9825
Al: 0.0025 0.4776 0.9825
Al: 0.7828 0.7172 0.7172
Sn: 0.9226 0.0774 0.0774

Volume (Å³ per cell): 317.9
D(E_F) (states/eV per cell): 10.92
Raw total energy (eV/cell): -57.371
DFT formation energy (meV per atom): -258

Record 6
Here is Tm8Al2Sn after structural relaxation from Alexandria via LeMat-Bulk. Energies are from PBE-GGA.

Cell: 4.8821 7.8693 8.5460 Å, 111.37 106.60 90.00°
Fractional positions:
Tm: 0.3959 0.5402 0.7918
Tm: 0.6803 0.9421 0.3607
Tm: 0.8449 0.7794 0.6899
Tm: 0.9491 0.2730 0.8982
Tm: 0.1551 0.2206 0.3101
Tm: 0.3197 0.0579 0.6393
Tm: 0.6041 0.4598 0.2082
Tm: 0.0509 0.7270 0.1018
Al: 0.7801 0.3500 0.5602
Al: 0.2199 0.6500 0.4398
Sn: 0.5000 0.0000 0.0000

Volume (Å³ per cell): 291.0
D(E_F) (states/eV per cell): 10.76
Raw total energy (eV/cell): -50.134
DFT formation energy (meV per atom): -261

Record 7
Here is UAl2Sn after structural relaxation from Alexandria via LeMat-Bulk. Energies are from PBE-GGA.

Cell: 3.0711 3.0711 11.0662 Å, 82.02 82.02 60.00°
Site moments in Bohr magnetons follow the coordinates.
Fractional positions:
U: 0.5000 0.5000 0.5000  2.30
Sn: 0.0000 0.0000 0.0000  0.01
Al: 0.5910 0.5910 0.2269  0.00
Al: 0.4090 0.4090 0.7731  0.00

Volume (Å³ per cell): 89.2
D(E_F) (states/eV per cell): 5.55
Excess energy over the best structure of this formula in the dataset (eV per atom): 0.575
Raw total energy (eV/cell): -20.993
DFT formation energy (meV per atom): 446

Record 8
Here is U5Al12Sn3 after structural relaxation from Alexandria via LeMat-Bulk. Energies are from PBE-GGA.

Cell: 14.6377 14.6377 14.6377 Å, 109.47 109.47 109.47°
Site moments in Bohr magnetons follow the coordinates.
Fractional positions:
Sn: 0.7500 0.3750 0.1250  0.00
Sn: 0.8750 0.7500 0.1250  0.00
Sn: 0.3750 0.7500 0.6250  0.00
Sn: 0.2500 0.1250 0.3750  0.00
Sn: 0.8750 0.1250 0.2500  0.00
Sn: 0.3750 0.6250 0.2500  0.00
Sn: 0.6250 0.3750 0.7500  0.00
Sn: 0.1250 0.8750 0.7500  0.00
Sn: 0.7500 0.8750 0.6250  0.00
Sn: 0.6250 0.2500 0.3750  0.00
Sn: 0.1250 0.2500 0.8750  0.00
Sn: 0.2500 0.6250 0.8750  0.00
U: 0.1250 0.3750 0.2500  2.92
U: 0.0000 0.5000 0.0000  2.51
U: 0.0000 0.0000 0.0000  2.51
U: 0.3750 0.2500 0.1250  2.92
U: 0.5000 0.0000 0.5000  2.51
U: 0.5000 0.5000 0.0000  2.51
U: 0.1250 0.7500 0.3750  2.92
U: 0.7500 0.1250 0.8750  2.92
U: 0.7500 0.6250 0.3750  2.92
U: 0.3750 0.1250 0.7500  2.92
U: 0.6250 0.8750 0.2500  2.92
U: 0.5000 0.5000 0.5000  2.51
U: 0.5000 0.0000 0.0000  2.51
U: 0.0000 0.0000 0.5000  2.51
U: 0.2500 0.3750 0.6250  2.92
U: 0.2500 0.8750 0.1250  2.92
U: 0.0000 0.5000 0.5000  2.51
U: 0.8750 0.2500 0.6250  2.92
U: 0.6250 0.7500 0.8750  2.92
U: 0.8750 0.6250 0.7500  2.92
Al: 0.7316 0.1549 0.0884  0.00
Al: 0.3568 0.5884 0.4336  0.00
Al: 0.9116 0.3451 0.2684  0.00
Al: 0.5884 0.2316 0.1549  0.00
Al: 0.5767 0.7316 0.6432  0.00
Al: 0.9116 0.5664 0.1432  0.00
Al: 0.3568 0.7684 0.4233  0.00
Al: 0.0664 0.9233 0.1549  0.00
Al: 0.5664 0.9116 0.6432  0.00
Al: 0.7316 0.5767 0.1432  0.00
Al: 0.7684 0.4116 0.3451  0.00
Al: 0.8568 0.9336 0.0884  0.00
Al: 0.1549 0.7316 0.5884  0.00
Al: 0.3451 0.4336 0.0767  0.00
Al: 0.0767 0.9336 0.3451  0.00
Al: 0.4233 0.1549 0.5664  0.00
Al: 0.0767 0.1432 0.2316  0.00
Al: 0.4116 0.6432 0.0664  0.00
Al: 0.8568 0.9233 0.2684  0.00
Al: 0.1549 0.4233 0.0664  0.00
Al: 0.3451 0.9116 0.7684  0.00
Al: 0.5664 0.6549 0.4233  0.00
Al: 0.9336 0.8568 0.5884  0.00
Al: 0.7684 0.3568 0.9233  0.00
Al: 0.4336 0.3451 0.5767  0.00
Al: 0.0664 0.1432 0.4116  0.00
Al: 0.2316 0.6432 0.0767  0.00
Al: 0.1432 0.0767 0.7316  0.00
Al: 0.6549 0.0884 0.2316  0.00
Al: 0.8451 0.5767 0.9336  0.00
Al: 0.5884 0.3568 0.9336  0.00
Al: 0.5767 0.8451 0.4336  0.00
Al: 0.9233 0.8568 0.7684  0.00
Al: 0.9233 0.0664 0.6549  0.00
Al: 0.8451 0.2684 0.4116  0.00
Al: 0.1432 0.0664 0.9116  0.00
Al: 0.6549 0.5664 0.9233  0.00
Al: 0.4336 0.0884 0.3568  0.00
Al: 0.2684 0.4233 0.8568  0.00
Al: 0.2316 0.5884 0.6549  0.00
Al: 0.9336 0.0767 0.8451  0.00
Al: 0.6432 0.2316 0.5767  0.00
Al: 0.4116 0.7684 0.8451  0.00
Al: 0.0884 0.4336 0.8568  0.00
Al: 0.4233 0.2684 0.3568  0.00
Al: 0.0884 0.6549 0.7316  0.00
Al: 0.6432 0.4116 0.5664  0.00
Al: 0.2684 0.8451 0.9116  0.00

Volume (Å³ per cell): 2414.3
D(E_F) (states/eV per cell): 131.70
Raw total energy (eV/cell): -379.189
DFT formation energy (meV per atom): 928

Record 9
Here is UAl2Sn after structural relaxation from Alexandria via LeMat-Bulk. Energies are from PBE-GGA.

Cell: 4.3092 4.4112 4.4112 Å, 90.00 90.00 90.00°
Site moments in Bohr magnetons follow the coordinates.
Fractional positions:
U: 0.5000 0.0000 0.0000  1.95
Sn: 0.5000 0.5000 0.5000  -0.01
Al: 0.0000 0.0000 0.5000  0.01
Al: 0.0000 0.5000 0.0000  0.01

Volume (Å³ per cell): 83.9
D(E_F) (states/eV per cell): 5.69
Excess energy over the best structure of this formula in the dataset (eV per atom): 0.000
Raw total energy (eV/cell): -23.294
DFT formation energy (meV per atom): -129

Record 10
Here is AlV2Sn2 after structural relaxation from Alexandria via LeMat-Bulk. Energies are from PBE-GGA.

Cell: 6.6968 6.6968 4.0708 Å, 90.00 90.00 90.00°
Site moments in Bohr magnetons follow the coordinates.
Fractional positions:
Al: 0.0000 0.0000 0.0000  -0.01
Al: 0.5000 0.5000 0.0000  -0.01
Sn: 0.1671 0.6671 0.5000  -0.01
Sn: 0.6671 0.8329 0.5000  -0.01
Sn: 0.8329 0.3329 0.5000  -0.01
Sn: 0.3329 0.1671 0.5000  -0.01
V: 0.3650 0.8650 0.0000  0.35
V: 0.8650 0.6350 0.0000  0.35
V: 0.6350 0.1350 0.0000  0.35
V: 0.1350 0.3650 0.0000  0.35

Volume (Å³ per cell): 182.6
D(E_F) (states/eV per cell): 9.43
Raw total energy (eV/cell): -58.958
DFT formation energy (meV per atom): 101

Record 11
Here is Al3VSn after structural relaxation from Alexandria via LeMat-Bulk. Energies are from PBE-GGA.

Cell: 4.8498 4.8498 4.8498 Å, 90.00 90.00 90.00°
Fractional positions:
Al: 0.0000 0.5000 0.0000
Al: 0.0000 0.0000 0.5000
Al: 0.5000 0.0000 0.0000
Sn: 0.5000 0.5000 0.5000
V: 0.0000 0.0000 0.0000

Volume (Å³ per cell): 114.1
D(E_F) (states/eV per cell): 2.73
Excess energy over the best structure of this formula in the dataset (eV per atom): 0.000
Raw total energy (eV/cell): -21.458
DFT formation energy (meV per atom): 578

Record 12
Here is Al2V2Sn after structural relaxation from Alexandria via LeMat-Bulk. Energies are from PBE-GGA.

Cell: 6.7786 6.7786 3.6830 Å, 90.00 90.00 90.00°
Fractional positions:
Al: 0.1599 0.6599 0.5000
Al: 0.6599 0.8401 0.5000
Al: 0.8401 0.3401 0.5000
Al: 0.3401 0.1599 0.5000
Sn: 0.0000 0.0000 0.0000
Sn: 0.5000 0.5000 0.0000
V: 0.3723 0.8723 0.0000
V: 0.8723 0.6277 0.0000
V: 0.6277 0.1277 0.0000
V: 0.1277 0.3723 0.0000

Volume (Å³ per cell): 169.2
D(E_F) (states/eV per cell): 5.11
Excess energy over the best structure of this formula in the dataset (eV per atom): 0.000
Raw total energy (eV/cell): -59.217
DFT formation energy (meV per atom): 23